## Mg3Pd7 (GGA-PBE)

Data for a relaxed structure of Mg3Pd7.

CIF file:
```
data_Mg3Pd7
_cell_length_a 14.291
_cell_length_b 4.076
_cell_length_c 5.581
_cell_angle_alpha 90.00
_cell_angle_beta 104.60
_cell_angle_gamma 90.00
_symmetry_space_group_name_H-M 'C 1 2/m 1'
_symmetry_Int_Tables_number 12
loop_
_symmetry_equiv_pos_as_xyz
'x,y,z'
'-x,-y,-z'
'-x,y,-z'
'x,-y,z'
'x+1/2,y+1/2,z'
'-x+1/2,-y+1/2,-z'
'-x+1/2,y+1/2,-z'
'x+1/2,-y+1/2,z'
loop_
_atom_site_label
_atom_site_fract_x
_atom_site_fract_y
_atom_site_fract_z
Mg1 0.000 0.000 0.000
Mg2 0.193 0.000 0.622
Pd1 0.000 0.000 0.500
Pd2 0.098 0.500 0.817
Pd3 0.106 0.500 0.318
Pd4 0.203 0.000 0.120
```

Computed properties:
Calculated total energy   -4.66 eV per atom
Energy relative to the elements   -543.5 meV per atom
DOS(E_F)   16.2 states/eV per cell